Density functional theory data (PBE-GGA) for a geometry-optimized Tl2RuBr structure.

Calculated values
The space-group type is No. 47. Its energy above the most stable polymorph in this dataset is 366 meV/atom. For the raw formation energy, the calculation gives 0.609 eV per atom.

POSCAR file:
```
Tl2RuBr
1.0
3.4511 0.0000 0.0000
0.0000 4.9881 0.0000
0.0000 0.0000 5.8604
Tl Ru Br
2 1 1
Cartesian
0.0000 0.0000 0.0000
1.7256 0.0000 2.9302
0.0000 2.4940 2.9302
1.7256 2.4940 0.0000
```

***

Density functional theory data (PBE-GGA) for a geometry-optimized TlRu2Br structure.

Calculated values
The space-group type is No. 71. Its energy above the most stable polymorph in this dataset is 480 meV/atom. For the raw formation energy, the calculation gives 0.873 eV per atom.

POSCAR file:
```
TlRu2Br
1.0
-1.5065 2.6860 4.5304
1.5065 -2.6860 4.5304
1.5065 2.6860 -4.5304
Tl Ru Br
1 2 1
Cartesian
0.0000 0.0000 0.0000
1.5065 0.0000 2.4021
0.0000 2.6860 2.1283
0.0000 0.0000 4.5304
```

***

Density functional theory data (PBE-GGA) for a geometry-optimized TlRuBr2 structure.

Calculated values
The space-group type is No. 123. Its energy above the most stable polymorph in this dataset is 383 meV/atom. For the raw formation energy, the calculation gives 0.310 eV per atom.

POSCAR file:
```
TlRuBr2
1.0
3.4654 0.0000 0.0000
0.0000 3.4654 0.0000
0.0000 0.0000 8.3051
Tl Ru Br
1 1 2
Cartesian
0.0000 0.0000 0.0000
0.0000 0.0000 4.1525
1.7327 1.7327 2.4786
1.7327 1.7327 5.8265
```

***

Density functional theory data (PBE-GGA) for a geometry-optimized TlRuBr6 structure.

Calculated values
The space-group type is No. 12. Its energy above the most stable polymorph in this dataset is 0 meV/atom. For the raw formation energy, the calculation gives -0.331 eV per atom.

POSCAR file:
```
TlRuBr6
1.0
3.4326 -5.8762 0.0000
3.4326 5.8762 0.0000
-2.2807 0.0000 6.4789
Tl Ru Br
1 1 6
Cartesian
0.0000 0.0000 0.0000
2.2923 0.0000 3.2394
1.2918 1.7705 1.7784
0.2248 0.0000 4.6425
1.2918 -1.7705 1.7784
3.2928 1.7705 4.7005
4.3598 0.0000 1.8364
3.2928 -1.7705 4.7005
```